[1]
Entry from Alexandria via LeMat-Bulk: a geometry-optimized Zn3TcOs structure (PBE-GGA).

Unit cell a=4.724 b=4.724 c=4.724 alpha=90.00 beta=90.00 gamma=90.00
Site moments in Bohr magnetons follow the coordinates.
Sites, in units of the cell vectors:
Os 0.000 0.000 0.000  0.55
Zn 0.000 0.500 0.000  -0.03
Tc 0.500 0.500 0.500  3.38
Zn 0.500 0.000 0.000  -0.02
Zn 0.000 0.000 0.500  -0.01

Values from the calculation:
ΔE to the lowest computed polymorph, meV/atom: 0
Magnetization, μB per formula unit: 4.21
E_form, kcal/mol of atoms: 29.1

[2]
Entry from Alexandria via LeMat-Bulk: a geometry-optimized ZnTcOs2 structure (PBE-GGA).

Unit cell a=4.851 b=4.851 c=4.851 alpha=134.51 beta=134.51 gamma=66.29
Sites, in units of the cell vectors:
Os 0.000 0.000 0.000
Os 0.250 0.750 0.500
Zn 0.750 0.250 0.500
Tc 0.500 0.500 0.000

Values from the calculation:
Magnetization, μB per formula unit: 0.00
E_form, kcal/mol of atoms: 6.9

[3]
Entry from Alexandria via LeMat-Bulk: a geometry-optimized ZnTcOs2 structure (PBE-GGA).

Unit cell a=4.756 b=4.756 c=4.679 alpha=81.01 beta=81.01 gamma=33.47
Sites, in units of the cell vectors:
Os 0.746 0.746 0.743
Tc 0.492 0.492 0.510
Zn 0.253 0.253 0.244
Os 0.009 0.009 0.003

Values from the calculation:
Magnetization, μB per formula unit: 0.00
E_form, kcal/mol of atoms: 5.2

[4]
Entry from Alexandria via LeMat-Bulk: a geometry-optimized ZrTc2Os structure (PBE-GGA).

Unit cell a=3.146 b=4.505 c=4.553 alpha=90.00 beta=90.00 gamma=90.00
Sites, in units of the cell vectors:
Tc 0.500 0.500 0.000
Tc 0.000 0.000 0.000
Os 0.000 0.500 0.500
Zr 0.500 0.000 0.500

Values from the calculation:
ΔE to the lowest computed polymorph, meV/atom: 0
Magnetization, μB per formula unit: 0.00
E_form, kcal/mol of atoms: 0.0

[5]
Entry from Alexandria via LeMat-Bulk: a geometry-optimized ZrTc2Os structure (PBE-GGA).

Unit cell a=4.503 b=4.503 c=4.503 alpha=60.00 beta=60.00 gamma=60.00
Sites, in units of the cell vectors:
Zr 0.750 0.750 0.750
Tc 0.000 0.000 0.000
Tc 0.250 0.250 0.250
Os 0.500 0.500 0.500

Values from the calculation:
ΔE to the lowest computed polymorph, meV/atom: 45
Magnetization, μB per formula unit: 0.00
E_form, kcal/mol of atoms: 1.0

[6]
Entry from Alexandria via LeMat-Bulk: a geometry-optimized ZrTc3Os structure (PBE-GGA).

Unit cell a=4.628 b=4.628 c=4.628 alpha=90.00 beta=90.00 gamma=90.00
Sites, in units of the cell vectors:
Zr 0.000 0.000 0.000
Tc 0.500 0.000 0.000
Os 0.500 0.500 0.500
Tc 0.000 0.000 0.500
Tc 0.000 0.500 0.000

Values from the calculation:
ΔE to the lowest computed polymorph, meV/atom: 1198
Magnetization, μB per formula unit: 0.00
E_form, kcal/mol of atoms: 55.6